No. 1
! Ce3SnSe2, optimized geometry, DFT PBE-GGA; values from VASP
&SYSTEM
  ibrav = 0, nat = 6, ntyp = 3
/
ATOMIC_SPECIES
Se 78.96 Se.upf
Sn 118.71 Sn.upf
Ce 140.12 Ce.upf
ATOMIC_POSITIONS angstrom
Se 1.707 0.053 -3.295
Sn -0.659 -2.025 -0.374
Se 3.454 -3.241 -1.037
Ce -0.947 -1.381 -3.348
Ce 2.159 -0.638 -0.347
Ce 3.003 -2.550 -3.984
CELL_PARAMETERS angstrom
-1.318 -4.049 -0.749
-0.577 1.287 -5.947
7.056 -0.426 2.364
! * final energy: -6.1791 eV/atom
! * density: 6.8 g cm⁻³
! * density of states at the Fermi level: 17.539 states/eV per cell
! * uncorrected formation energy: -1.384 eV per atom



No. 2
! Ce2SnSe, optimized geometry, DFT PBE-GGA; values from VASP
&SYSTEM
  ibrav = 0, nat = 4, ntyp = 3
/
ATOMIC_SPECIES
Se 78.96 Se.upf
Ce 140.12 Ce.upf
Sn 118.71 Sn.upf
ATOMIC_POSITIONS angstrom
Se 6.131 3.540 8.079
Ce 2.044 1.180 1.782
Ce 2.044 1.180 6.324
Sn 4.087 2.360 4.074
CELL_PARAMETERS angstrom
4.087 0.000 0.000
2.044 3.540 0.000
2.044 1.180 8.104
! * final energy: -5.8726 eV/atom
! * density: 6.8 g cm⁻³
! * polymorph energy (0 for the lowest one): 116 meV/atom
! * density of states at the Fermi level: 13.211 states/eV per cell
! * uncorrected formation energy: -1.034 eV per atom